No. 1
A plane-wave DFT calculation with GGA-PBE was carried out for crystalline BaSe2Br at its relaxed geometry.

a = 5.8144 Å, b = 5.8144 Å, c = 5.8144 Å
α = 132.62°, β = 114.65°, γ = 84.59°
With the nearest neighbours (Å) after each atom.
Atoms (fractional coordinates):
1 Ba 0.5080 0.5080 0.0000  2 Br 3.26, 5 Se 3.54-3.63
2 Br 0.2434 0.7434 0.5000  2 Ba 3.26, 4 Se 3.53-3.56
3 Se 0.9303 0.9303 0.0000  2 Se 2.53
4 Se 0.8184 0.3184 0.5000  2 Se 2.53

Results
ρ ... 4.94 g cm⁻³
Symmetry ... Imm2 (44)
Offset from the most stable computed form ... 0.054 eV per atom
Formation energy from raw total energies ... -4.68 eV/f.u.

No. 2
A plane-wave DFT calculation with GGA-PBE was carried out for crystalline BaSe2Br at its relaxed geometry.

a = 4.3572 Å, b = 4.3559 Å, c = 6.1916 Å
α = 90.00°, β = 90.00°, γ = 90.00°
With the nearest neighbours (Å) after each atom.
Atoms (fractional coordinates):
1 Ba 0.5000 0.0000 0.5000  4 Br 3.08
2 Br 0.0000 0.5000 0.5000  4 Ba 3.08
3 Se 0.0000 0.0000 0.0000  4 Se 3.08
4 Se 0.5000 0.5000 0.0000  4 Se 3.08

Results
ρ ... 5.30 g cm⁻³
Symmetry ... P4/mmm (123)
Offset from the most stable computed form ... 0.183 eV per atom
Formation energy from raw total energies ... -4.16 eV/f.u.

No. 3
A plane-wave DFT calculation with GGA-PBE was carried out for crystalline BaSeBr2 at its relaxed geometry.

a = 5.6536 Å, b = 5.6536 Å, c = 5.6536 Å
α = 60.00°, β = 60.00°, γ = 60.00°
With the nearest neighbours (Å) after each atom.
Atoms (fractional coordinates):
1 Ba 0.5000 0.5000 0.5000  4 Se 3.46, 4 Br 3.46
2 Br 0.0000 0.0000 0.0000  4 Se 3.46, 4 Br 3.46
3 Br 0.2500 0.2500 0.2500  4 Ba 3.46, 4 Br 3.46
4 Se 0.7500 0.7500 0.7500  4 Ba 3.46, 4 Br 3.46

Results
ρ ... 4.89 g cm⁻³
Symmetry ... F-43m (216)
Offset from the most stable computed form ... 0.413 eV per atom
Formation energy from raw total energies ... -3.84 eV/f.u.

No. 4
A plane-wave DFT calculation with GGA-PBE was carried out for crystalline BaSe2Br at its relaxed geometry.

a = 4.6478 Å, b = 4.6991 Å, c = 7.6404 Å
α = 57.46°, β = 90.00°, γ = 90.00°
With the nearest neighbours (Å) after each atom.
Atoms (fractional coordinates):
1 Ba 0.5000 0.2500 0.2500  2 Br 3.23, 8 Se 3.46-3.55
2 Br 0.5000 0.7500 0.7500  2 Ba 3.23
3 Se 0.0000 0.8959 0.0675  1 Se 2.35
4 Se 0.0000 0.6041 0.4325  1 Se 2.35

Results
ρ ... 4.43 g cm⁻³
Symmetry ... P2/m (10)
Offset from the most stable computed form ... 0.155 eV per atom
Formation energy from raw total energies ... -4.28 eV/f.u.

No. 5
A plane-wave DFT calculation with GGA-PBE was carried out for crystalline Ba4SeBr5 at its relaxed geometry.

a = 4.9562 Å, b = 8.7218 Å, c = 10.6498 Å
α = 114.08°, β = 103.46°, γ = 90.00°
With the nearest neighbours (Å) after each atom.
Atoms (fractional coordinates):
1 Ba 0.6817 0.1821 0.3633  6 Br 3.33-3.47, 1 Se 3.42
2 Ba 0.0001 0.7553 0.0003  4 Br 3.25-3.33, 2 Se 3.27
3 Ba 0.3183 0.8179 0.6367  6 Br 3.33-3.47, 1 Se 3.42
4 Ba 0.9999 0.2447 0.9997  4 Br 3.25-3.33, 2 Se 3.27
5 Se 0.5000 0.0000 0.0000  6 Ba 3.27-3.42
6 Br 0.1731 0.9191 0.3463  4 Ba 3.25-3.47
7 Br 0.1729 0.4280 0.3459  4 Ba 3.26-3.47
8 Br 0.8271 0.5720 0.6541  4 Ba 3.26-3.47
9 Br 0.5000 0.5000 0.0000  4 Ba 3.33
10 Br 0.8269 0.0809 0.6537  4 Ba 3.25-3.47

Results
ρ ... 4.20 g cm⁻³
Symmetry ... C2/m (12)
Formation energy from raw total energies ... -20.22 eV/f.u.

No. 6
A plane-wave DFT calculation with GGA-PBE was carried out for crystalline BaSeBr4 at its relaxed geometry.

a = 6.4147 Å, b = 6.4147 Å, c = 6.4147 Å
α = 60.00°, β = 60.00°, γ = 60.00°
With the nearest neighbours (Å) after each atom.
Atoms (fractional coordinates):
1 Ba 0.0000 0.0000 0.0000  12 Br 3.76, 4 Se 3.93
2 Se 0.7500 0.7500 0.7500  12 Br 3.76, 4 Ba 3.93
3 Br 0.3753 0.8741 0.3753  6 Br 3.20-3.21
4 Br 0.8741 0.3753 0.3753  6 Br 3.20-3.21
5 Br 0.3753 0.3753 0.8741  6 Br 3.20-3.21
6 Br 0.3753 0.3753 0.3753  6 Br 3.20-3.21

Results
ρ ... 4.77 g cm⁻³
Symmetry ... F-43m (216)
Offset from the most stable computed form ... 0.764 eV per atom
Formation energy from raw total energies ... -2.02 eV/f.u.